# 1
VASP calculation (GGA-PBE) on a geometry-optimized ThZr2Sc4 structure.

Cell and atoms, written as CIF:
```
data_ThZr2Sc4
_cell_length_a 3.271
_cell_length_b 7.812
_cell_length_c 8.055
_cell_angle_alpha 115.32
_cell_angle_beta 101.08
_cell_angle_gamma 98.08
_space_group_name_H-M_alt 'P 1'
_space_group_IT_number 1
loop_
_space_group_symop_operation_xyz
'x,y,z'
loop_
_atom_site_label
_atom_site_fract_x
_atom_site_fract_y
_atom_site_fract_z
Th1 0.000 0.000 0.000
Zr1 0.214 0.559 0.870
Zr2 0.786 0.441 0.130
Sc1 0.322 0.695 0.566
Sc2 0.382 0.149 0.697
Sc3 0.618 0.851 0.303
Sc4 0.678 0.305 0.434
```

Calculated values
Formation energy: 0.067 eV per atom
Total magnetic moment: 0.000 Bohr magnetons per cell
Space group: P-1, No. 2
Offset from the most stable computed form: 0 meV/atom
D(E_F): 10.0 states/eV/cell
DFT total energy: -7.053 eV per atom

***

# 2
VASP calculation (GGA-PBE) on a geometry-optimized BeRe2Ir structure.

Cell and atoms, written as CIF:
```
data_BeRe2Ir
_cell_length_a 4.993
_cell_length_b 8.161
_cell_length_c 2.718
_cell_angle_alpha 90.00
_cell_angle_beta 90.17
_cell_angle_gamma 90.00
_space_group_name_H-M_alt 'P 1'
_space_group_IT_number 1
loop_
_space_group_symop_operation_xyz
'x,y,z'
loop_
_atom_site_label
_atom_site_fract_x
_atom_site_fract_y
_atom_site_fract_z
Be1 0.000 0.000 0.000
Be2 0.500 0.500 0.000
Re1 0.250 0.250 0.500
Re2 0.250 0.750 0.500
Re3 0.750 0.250 0.500
Re4 0.750 0.750 0.500
Ir1 0.000 0.500 0.000
Ir2 0.500 0.000 0.000
```

Calculated values
Formation energy: 0.107 eV per atom
Total magnetic moment: 0.000 Bohr magnetons per cell
Space group: C2/m, No. 12
D(E_F): 4.2 states/eV/cell
DFT total energy: -9.264 eV per atom

***

# 3
VASP calculation (GGA-PBE) on a geometry-optimized LiNdP2Pt7 structure.

Cell and atoms, written as CIF:
```
data_LiNdP2Pt7
_cell_length_a 12.752
_cell_length_b 12.752
_cell_length_c 12.752
_cell_angle_alpha 161.35
_cell_angle_beta 161.35
_cell_angle_gamma 26.50
_space_group_name_H-M_alt 'P 1'
_space_group_IT_number 1
loop_
_space_group_symop_operation_xyz
'x,y,z'
loop_
_atom_site_label
_atom_site_fract_x
_atom_site_fract_y
_atom_site_fract_z
Li1 0.000 0.000 0.000
Nd1 0.250 0.750 0.500
P1 0.612 0.112 0.500
P2 0.888 0.388 0.500
Pt1 0.160 0.160 0.000
Pt2 0.339 0.339 0.000
Pt3 0.525 0.025 0.500
Pt4 0.661 0.661 0.000
Pt5 0.750 0.250 0.500
Pt6 0.840 0.840 0.000
Pt7 0.975 0.475 0.500
```

Calculated values
Formation energy: -0.354 eV per atom
Total magnetic moment: 0.000 Bohr magnetons per cell
Space group: I-4m2, No. 119
D(E_F): 3.8 states/eV/cell
DFT total energy: -5.789 eV per atom

***

# 4
VASP calculation (GGA-PBE) on a geometry-optimized SrCo2Si structure.

Cell and atoms, written as CIF:
```
data_SrCo2Si
_cell_length_a 3.121
_cell_length_b 3.121
_cell_length_c 6.947
_cell_angle_alpha 90.00
_cell_angle_beta 90.00
_cell_angle_gamma 90.00
_space_group_name_H-M_alt 'P 1'
_space_group_IT_number 1
loop_
_space_group_symop_operation_xyz
'x,y,z'
loop_
_atom_site_label
_atom_site_fract_x
_atom_site_fract_y
_atom_site_fract_z
Sr1 0.000 0.000 0.000
Co1 0.000 0.000 0.495
Co2 0.500 0.500 0.335
Si1 0.500 0.500 0.665
```

Calculated values
Total magnetic moment: 2.349 Bohr magnetons per cell
Space group: P4mm, No. 99
D(E_F): 4.1 states/eV/cell
Raw formation energy: 0.158 eV/atom
DFT total energy: -5.171 eV per atom

***

# 5
VASP calculation (GGA-PBE) on a geometry-optimized AsPCI structure.

Cell and atoms, written as CIF:
```
data_AsPCI
_cell_length_a 3.717
_cell_length_b 6.836
_cell_length_c 7.261
_cell_angle_alpha 117.61
_cell_angle_beta 90.10
_cell_angle_gamma 105.66
_space_group_name_H-M_alt 'P 1'
_space_group_IT_number 1
loop_
_space_group_symop_operation_xyz
'x,y,z'
loop_
_atom_site_label
_atom_site_fract_x
_atom_site_fract_y
_atom_site_fract_z
As1 0.000 0.000 0.000
P1 0.754 0.507 0.524
C1 0.862 0.724 0.752
I1 0.924 0.846 0.265
```

Calculated values
Total magnetic moment: 0.000 Bohr magnetons per cell
Space group: P1, No. 1
Offset from the most stable computed form: 326 meV/atom
D(E_F): 0.9 states/eV/cell
Raw formation energy: 0.727 eV/atom
DFT total energy: -4.481 eV per atom

***

# 6
VASP calculation (GGA-PBE) on a geometry-optimized Ba2SeN structure.

Cell and atoms, written as CIF:
```
data_Ba2SeN
_cell_length_a 7.600
_cell_length_b 7.600
_cell_length_c 7.600
_cell_angle_alpha 90.00
_cell_angle_beta 90.00
_cell_angle_gamma 90.00
_space_group_name_H-M_alt 'P 1'
_space_group_IT_number 1
loop_
_space_group_symop_operation_xyz
'x,y,z'
loop_
_atom_site_label
_atom_site_fract_x
_atom_site_fract_y
_atom_site_fract_z
Ba1 0.250 0.250 0.250
Ba2 0.250 0.250 0.750
Ba3 0.250 0.750 0.250
Ba4 0.250 0.750 0.750
Ba5 0.750 0.250 0.250
Ba6 0.750 0.250 0.750
Ba7 0.750 0.750 0.250
Ba8 0.750 0.750 0.750
Se1 0.000 0.000 0.000
Se2 0.000 0.500 0.500
Se3 0.500 0.000 0.500
Se4 0.500 0.500 0.000
N1 0.000 0.000 0.500
N2 0.000 0.500 0.000
N3 0.500 0.000 0.000
N4 0.500 0.500 0.500
```

Calculated values
Total magnetic moment: 4.000 Bohr magnetons per cell
Space group: Fm-3m, No. 225
Offset from the most stable computed form: 272 meV/atom
D(E_F): 28.3 states/eV/cell
Raw formation energy: -0.567 eV/atom
DFT total energy: -4.481 eV per atom

***

# 7
VASP calculation (GGA-PBE) on a geometry-optimized Sr2HfOsI structure.

Cell and atoms, written as CIF:
```
data_Sr2HfOsI
_cell_length_a 6.536
_cell_length_b 6.536
_cell_length_c 4.682
_cell_angle_alpha 90.00
_cell_angle_beta 90.00
_cell_angle_gamma 90.00
_space_group_name_H-M_alt 'P 1'
_space_group_IT_number 1
loop_
_space_group_symop_operation_xyz
'x,y,z'
loop_
_atom_site_label
_atom_site_fract_x
_atom_site_fract_y
_atom_site_fract_z
Sr1 0.000 0.500 0.000
Sr2 0.500 0.000 0.000
Hf1 0.000 0.000 0.000
Os1 0.000 0.000 0.500
I1 0.500 0.500 0.500
```

Calculated values
Total magnetic moment: 0.011 Bohr magnetons per cell
Space group: P4/mmm, No. 123
D(E_F): 6.4 states/eV/cell
Raw formation energy: 0.577 eV/atom
DFT total energy: -4.643 eV per atom

***

# 8
VASP calculation (GGA-PBE) on a geometry-optimized NaScCr2 structure.

Cell and atoms, written as CIF:
```
data_NaScCr2
_cell_length_a 6.856
_cell_length_b 6.856
_cell_length_c 6.856
_cell_angle_alpha 90.00
_cell_angle_beta 90.00
_cell_angle_gamma 90.00
_space_group_name_H-M_alt 'P 1'
_space_group_IT_number 1
loop_
_space_group_symop_operation_xyz
'x,y,z'
loop_
_atom_site_label
_atom_site_fract_x
_atom_site_fract_y
_atom_site_fract_z
Na1 0.000 0.000 0.000
Na2 0.000 0.500 0.500
Na3 0.500 0.000 0.500
Na4 0.500 0.500 0.000
Sc1 0.000 0.000 0.500
Sc2 0.000 0.500 0.000
Sc3 0.500 0.000 0.000
Sc4 0.500 0.500 0.500
Cr1 0.250 0.250 0.250
Cr2 0.250 0.250 0.750
Cr3 0.250 0.750 0.250
Cr4 0.250 0.750 0.750
Cr5 0.750 0.250 0.250
Cr6 0.750 0.250 0.750
Cr7 0.750 0.750 0.250
Cr8 0.750 0.750 0.750
```

Calculated values
Formation energy: 0.876 eV per atom
Total magnetic moment: 31.679 Bohr magnetons per cell
Space group: Fm-3m, No. 225
Offset from the most stable computed form: 0 meV/atom
D(E_F): 12.4 states/eV/cell
DFT total energy: -5.848 eV per atom

***

# 9
VASP calculation (GGA-PBE) on a geometry-optimized Ac3OsI2 structure.

Cell and atoms, written as CIF:
```
data_Ac3OsI2
_cell_length_a 4.371
_cell_length_b 6.322
_cell_length_c 16.638
_cell_angle_alpha 90.00
_cell_angle_beta 90.00
_cell_angle_gamma 90.00
_space_group_name_H-M_alt 'P 1'
_space_group_IT_number 1
loop_
_space_group_symop_operation_xyz
'x,y,z'
loop_
_atom_site_label
_atom_site_fract_x
_atom_site_fract_y
_atom_site_fract_z
Ac1 0.000 0.000 0.000
Ac2 0.000 0.000 0.384
Ac3 0.000 0.000 0.616
Ac4 0.500 0.500 0.116
Ac5 0.500 0.500 0.500
Ac6 0.500 0.500 0.884
Os1 0.000 0.500 0.000
Os2 0.500 0.000 0.500
I1 0.000 0.500 0.306
I2 0.000 0.500 0.694
I3 0.500 0.000 0.194
I4 0.500 0.000 0.806
```

Calculated values
Total magnetic moment: 0.000 Bohr magnetons per cell
Space group: Immm, No. 71
D(E_F): 8.3 states/eV/cell
Raw formation energy: -0.728 eV/atom
DFT total energy: -5.170 eV per atom

***

# 10
VASP calculation (GGA-PBE) on a geometry-optimized SmTmSbS structure.

Cell and atoms, written as CIF:
```
data_SmTmSbS
_cell_length_a 4.066
_cell_length_b 4.066
_cell_length_c 22.064
_cell_angle_alpha 90.00
_cell_angle_beta 90.00
_cell_angle_gamma 120.00
_space_group_name_H-M_alt 'P 1'
_space_group_IT_number 1
loop_
_space_group_symop_operation_xyz
'x,y,z'
loop_
_atom_site_label
_atom_site_fract_x
_atom_site_fract_y
_atom_site_fract_z
Sm1 0.000 0.000 0.000
Sm2 0.333 0.667 0.667
Sm3 0.667 0.333 0.333
Tm1 0.000 0.000 0.161
Tm2 0.333 0.667 0.828
Tm3 0.667 0.333 0.494
Sb1 0.000 0.000 0.577
Sb2 0.333 0.667 0.243
Sb3 0.667 0.333 0.910
S1 0.000 0.000 0.753
S2 0.333 0.667 0.420
S3 0.667 0.333 0.086
```

Calculated values
Total magnetic moment: 1.700 Bohr magnetons per cell
Space group: R3m, No. 160
D(E_F): 5.1 states/eV/cell
Raw formation energy: -1.376 eV/atom
DFT total energy: -5.736 eV per atom

***

# 11
VASP calculation (GGA-PBE) on a geometry-optimized TcAgCN2 structure.

Cell and atoms, written as CIF:
```
data_TcAgCN2
_cell_length_a 3.753
_cell_length_b 3.753
_cell_length_c 3.921
_cell_angle_alpha 90.00
_cell_angle_beta 90.00
_cell_angle_gamma 90.00
_space_group_name_H-M_alt 'P 1'
_space_group_IT_number 1
loop_
_space_group_symop_operation_xyz
'x,y,z'
loop_
_atom_site_label
_atom_site_fract_x
_atom_site_fract_y
_atom_site_fract_z
Tc1 0.000 0.000 0.000
Ag1 0.500 0.500 0.000
C1 0.500 0.500 0.500
N1 0.000 0.500 0.500
N2 0.500 0.000 0.500
```

Calculated values
Total magnetic moment: 0.001 Bohr magnetons per cell
Space group: P4/mmm, No. 123
D(E_F): 5.0 states/eV/cell
Raw formation energy: 2.638 eV/atom
DFT total energy: -5.181 eV per atom

***

# 12
VASP calculation (GGA-PBE) on a geometry-optimized DyTm3Mg7 structure.

Cell and atoms, written as CIF:
```
data_DyTm3Mg7
_cell_length_a 11.270
_cell_length_b 11.270
_cell_length_c 16.368
_cell_angle_alpha 90.00
_cell_angle_beta 90.00
_cell_angle_gamma 163.27
_space_group_name_H-M_alt 'P 1'
_space_group_IT_number 1
loop_
_space_group_symop_operation_xyz
'x,y,z'
loop_
_atom_site_label
_atom_site_fract_x
_atom_site_fract_y
_atom_site_fract_z
Dy1 0.012 0.988 0.750
Dy2 0.988 0.012 0.250
Tm1 0.118 0.882 0.030
Tm2 0.118 0.882 0.470
Tm3 0.235 0.765 0.750
Tm4 0.765 0.235 0.250
Tm5 0.882 0.118 0.530
Tm6 0.882 0.118 0.970
Mg1 0.261 0.739 0.076
Mg2 0.261 0.739 0.424
Mg3 0.376 0.624 0.157
Mg4 0.376 0.624 0.343
Mg5 0.381 0.619 0.750
Mg6 0.495 0.505 0.084
Mg7 0.495 0.505 0.416
Mg8 0.505 0.495 0.584
Mg9 0.505 0.495 0.916
Mg10 0.619 0.381 0.250
Mg11 0.624 0.376 0.657
Mg12 0.624 0.376 0.843
Mg13 0.739 0.261 0.576
Mg14 0.739 0.261 0.924
```

Calculated values
Formation energy: 0.111 eV per atom
Total magnetic moment: 0.000 Bohr magnetons per cell
Space group: Cmcm, No. 63
Offset from the most stable computed form: 0 meV/atom
D(E_F): 19.2 states/eV/cell
DFT total energy: -2.542 eV per atom

***

Mass density in g/cm³, matching the order above: 5.584, 17.205, 12.364, 5.733, 2.611, 5.563, 5.570, 3.543, 8.126, 7.461, 7.395, 4.657